A) Entry from Alexandria: AlCuPb3 after structural relaxation (PBE).

Lattice parameters (Å, degrees): 5.2681 5.2681 5.2681 90.00 90.00 90.00
Space group Pm-3m (No. 221)
Unique sites:
Al  0.0000  0.0000  0.0000 [1 per cell]
Cu  0.5000  0.5000  0.5000 [1 per cell]
Pb  0.0000  0.5000  0.5000 [3 per cell]



B) Entry from Alexandria: AlCuPb3 after structural relaxation (PBE).

Lattice parameters (Å, degrees): 5.4385 5.4385 5.4385 90.00 90.00 90.00
Space group Pm-3m (No. 221)
Unique sites:
Al  0.0000  0.0000  0.0000 [1 per cell]
Cu  0.5000  0.5000  0.5000 [1 per cell]
Pb  0.0000  0.0000  0.5000 [3 per cell]



A) (0.287 eV/atom below the next structure)



A) Entry from Alexandria: AlCuPd3 after structural relaxation (PBE).

Lattice parameters (Å, degrees): 4.5298 4.5298 4.5298 90.00 90.00 90.00
Space group Pm-3m (No. 221)
Unique sites:
Al  0.0000  0.0000  0.0000 [1 per cell]
Cu  0.5000  0.5000  0.5000 [1 per cell]
Pd  0.0000  0.0000  0.5000 [3 per cell]



B) Entry from Alexandria: AlCuPd3 after structural relaxation (PBE).

Lattice parameters (Å, degrees): 4.5574 4.5574 4.5574 90.00 90.00 90.00
Space group Pm-3m (No. 221)
Unique sites:
Al  0.0000  0.0000  0.0000 [1 per cell]
Cu  0.5000  0.5000  0.5000 [1 per cell]
Pd  0.0000  0.5000  0.5000 [3 per cell]



A) (0.228 eV/atom below the next structure)



A) Entry from Alexandria: AlCuPd after structural relaxation (PBE).

Lattice parameters (Å, degrees): 3.3796 12.3437 3.9480 90.00 90.00 90.00
Space group Cmcm (No. 63)
Unique sites:
Al  0.0000  0.0928  0.2500 [4 per cell]
Cu  0.0000  0.2533  0.7500 [4 per cell]
Pd  0.0000  0.4184  0.2500 [4 per cell]



B) Entry from Alexandria: AlCuPd after structural relaxation (PBE).

Lattice parameters (Å, degrees): 4.1568 4.1568 2.7913 90.00 90.00 120.00
Space group P3m1 (No. 156)
Unique sites:
Al  0.0000  0.0000  0.0000 [1 per cell]
Cu  0.3333  0.6667  0.1908 [1 per cell]
Pd  0.6667  0.3333  0.6270 [1 per cell]



A) (0.098 eV/atom below the next structure)